{"formula": "NiOs3", "functional": "PBE", "state": "relaxed", "final_energy_ev_per_atom": -9.192, "sg": "No. 166", "formation_enthalpy_0k_ev_per_atom": 0.676, "lattice_angstrom": [[4.2640, 2.4618, 0.8907], [-4.2640, 2.4618, 0.8907], [0.0000, -4.9236, 0.8907]], "species": ["Ni", "Os", "Os", "Os"], "fractional_positions": [[0.0000, 0.0000, 0.0000], [0.0000, 0.5000, 0.5000], [0.5000, 0.0000, 0.5000], [0.5000, 0.5000, 0.0000]]}

=====

{"formula": "Sm2Mg3", "functional": "PBE", "state": "relaxed", "final_energy_ev_per_atom": -2.798, "e_above_lowest_polymorph_mev_per_atom": 126, "sg": "No. 166", "formation_enthalpy_0k_ev_per_atom": 0.046, "lattice_angstrom": [[1.7007, 0.9819, 13.9898], [-1.7007, 0.9819, 13.9898], [0.0000, -1.9638, 13.9898]], "species": ["Sm", "Sm", "Mg", "Mg", "Mg"], "fractional_positions": [[0.2022, 0.2022, 0.2022], [0.7978, 0.7978, 0.7978], [0.0000, 0.0000, 0.0000], [0.3953, 0.3953, 0.3953], [0.6047, 0.6047, 0.6047]]}

=====

{"formula": "La2InTe", "functional": "PBE", "state": "relaxed", "final_energy_ev_per_atom": -4.828, "formation_energy_uncorrected_mev_per_atom": -894, "e_above_lowest_polymorph_mev_per_atom": 153, "sg": "No. 65", "lattice_angstrom": [[3.5343, -4.3633, 0.0000], [3.5343, 4.3633, 0.0000], [0.0000, 0.0000, 3.9550]], "species": ["La", "La", "In", "Te"], "fractional_positions": [[0.0000, 0.5000, 0.0000], [0.5000, 0.0000, 0.0000], [0.0000, 0.0000, 0.5000], [0.5000, 0.5000, 0.5000]]}

=====

{"formula": "TiVGa3", "functional": "PBE", "state": "relaxed", "final_energy_ev_per_atom": -4.730, "e_above_lowest_polymorph_mev_per_atom": 580, "sg": "No. 221", "formation_enthalpy_0k_ev_per_atom": 0.488, "lattice_angstrom": [[4.6720, 0.0000, 0.0000], [0.0000, 4.6720, 0.0000], [0.0000, 0.0000, 4.6720]], "species": ["Ti", "V", "Ga", "Ga", "Ga"], "fractional_positions": [[0.0000, 0.0000, 0.0000], [0.5000, 0.5000, 0.5000], [0.0000, 0.5000, 0.5000], [0.5000, 0.0000, 0.5000], [0.5000, 0.5000, 0.0000]]}

=====

Number 1: D(E_F) 6.58 states/eV per cell. Number 2: D(E_F) 4.52 states/eV per cell. Number 3: D(E_F) 3.36 states/eV per cell. Number 4: D(E_F) 7.10 states/eV per cell.